## YSb2 (PBE-GGA)

Data for a geometry-optimized YSb2 structure.

Cell lengths 8.6928, 8.6928, 3.9877 Å; angles 90.00, 90.00, 120.00 degrees
With the nearest neighbours (Å) after each atom.
Sites, in units of the cell vectors:
1 Sb 0.0000 0.5509 0.5000  2 Sb 3.09, 4 Y 3.24
2 Y 0.3333 0.6667 0.0000  9 Sb 3.16-3.24
3 Sb 0.0000 0.2787 0.0000  2 Sb 3.09, 4 Y 3.14-3.16
4 Sb 0.4491 0.4491 0.5000  2 Sb 3.09, 4 Y 3.24
5 Sb 0.5509 0.0000 0.5000  2 Sb 3.09, 4 Y 3.24
6 Y 0.6667 0.3333 0.0000  9 Sb 3.16-3.24
7 Sb 0.2787 0.0000 0.0000  2 Sb 3.09, 4 Y 3.14-3.16
8 Y 0.0000 0.0000 0.5000  6 Sb 3.14
9 Sb 0.7213 0.7213 0.0000  2 Sb 3.09, 4 Y 3.14-3.16

Computed properties:
- DOS at the Fermi energy (states/eV/f.u.) = 1.78
- raw formation energy (eV/atom) = -0.531